DFT (PBE) results for RbInCl3 after structural relaxation.

Cell and atoms, written as POSCAR:
```
RbInCl3
1.0
-2.668 2.668 15.394
2.668 -2.668 15.394
2.668 2.668 -15.394
Rb In Cl
2 2 6
Cartesian
0.000 0.000 0.000 Rb
0.000 2.668 7.697 Rb
2.668 0.000 4.372 In
2.668 0.000 11.022 In
0.000 0.000 9.451 Cl
0.000 1.353 2.856 Cl
0.000 0.000 21.338 Cl
0.000 3.983 2.856 Cl
-1.315 2.668 12.539 Cl
1.315 2.668 12.539 Cl
```

Values from the calculation:
space group	I-4m2 (119)
uncorrected formation energy	-0.96	eV/atom